## LiHoTa2N4 (PBE)

Data for a relaxed structure of LiHoTa2N4.

Values from the calculation:
N(E_F), states/eV/cell: 4.8
Total magnetization, μB/cell: 0.0
ΔE_f (raw), eV per atom: -1.11
E_tot, eV per atom: -9.044

Cell lengths 4.493, 4.493, 8.734 Å; angles 90.00, 90.00, 90.00 degrees
Space group I4/mmm (No. 139)
Inequivalent atoms, fractional coordinates:
Li 0.000 0.000 0.000 x2
Ho 0.000 0.000 0.500 x2
Ta 0.000 0.500 0.250 x4
N 0.000 0.000 0.239 x4
N 0.000 0.500 0.000 x4

***

## SrTa2Br (PBE)

Data for a relaxed structure of SrTa2Br.

Values from the calculation:
N(E_F), states/eV/cell: 9.5
Total magnetization, μB/cell: 0.0
ΔE_f (raw), eV per atom: 0.97
E_tot, eV per atom: -5.796

Cell lengths 3.405, 5.143, 10.346 Å; angles 90.00, 90.00, 90.00 degrees
Space group Cmmm (No. 65)
Inequivalent atoms, fractional coordinates:
Sr 0.000 0.000 0.000 x2
Ta 0.000 0.500 0.281 x4
Br 0.000 0.000 0.500 x2

***

## NiH (PBE)

Data for a relaxed structure of NiH.

Values from the calculation:
N(E_F), states/eV/cell: 6.0
Total magnetization, μB/cell: 0.0
E_tot, eV per atom: -4.373

Cell lengths 5.092, 5.092, 5.092 Å; angles 90.00, 90.00, 90.00 degrees
Space group I-43m (No. 217)
Inequivalent atoms, fractional coordinates:
Ni 0.183 0.183 0.817 x8
H 0.141 0.141 0.141 x8

***

## ScBe2Si (PBE)

Data for a relaxed structure of ScBe2Si.

Values from the calculation:
N(E_F), states/eV/cell: 7.9
Total magnetization, μB/cell: 0.0
ΔE_f (raw), eV per atom: 0.02
E_tot, eV per atom: -4.778

Cell lengths 4.037, 4.037, 15.089 Å; angles 90.00, 90.00, 90.00 degrees
Space group I4_1/amd (No. 141, origin choice 2)
Inequivalent atoms, fractional coordinates:
Sc 0.000 0.250 0.375 x4
Be 0.000 0.000 0.000 x8
Si 0.000 0.250 0.875 x4